Crystalline CoTeN2F at its relaxed geometry. Source: the Alexandria database, functional PBE with a Hubbard U.

Lattice parameters (Å, degrees): 4.113 4.113 4.150 90.00 90.00 90.00
Element x y z (fractional)
Co: 0.000 0.000 0.000
Te: 0.500 0.500 0.500
N: 0.000 0.500 0.500
N: 0.500 0.000 0.500
F: 0.500 0.500 0.000

DOS(E_F): 0.614 states/eV per atom
Electronic total energy: -21.95 eV/f.u.
E above lowest polymorph: 324 meV/atom
SG: P4/mmm (123)